# 1
# Rb3LiGe

Crystalline Rb3LiGe at its relaxed geometry (PBE, the Alexandria database).

```
Rb3LiGe
1.0
-6.607 1.374 -1.550
-2.052 -5.036 4.286
-0.277 4.549 5.213
Ge Rb Li
1 3 1
Direct
0.000 0.000 0.000
0.000 0.000 0.500
0.000 0.500 0.000
0.500 0.000 0.000
0.500 0.500 0.500
```

Properties
E_form = 304 meV per atom
Space-group type = No. 221
Energy above the most stable polymorph in this dataset = 0 meV/atom
Calculated total energy = -7.9 eV/cell
Magnetic moment = 0.400 μB/atom



# 2
# Rb2LiGe

Crystalline Rb2LiGe at its relaxed geometry (PBE, the Alexandria database).

```
Rb2LiGe
1.0
-1.105 -2.132 4.441
-1.213 -4.293 -2.363
10.563 -7.101 2.089
Li Rb Ge
2 4 2
Direct
0.500 0.500 0.000
0.250 0.750 0.500
0.875 0.876 0.750
0.375 0.374 0.750
0.626 0.125 0.250
0.124 0.625 0.250
0.000 0.000 0.000
0.750 0.250 0.500
```

Properties
E_form = 423 meV per atom
Space-group type = No. 122
Calculated total energy = -13.5 eV/cell
Magnetic moment = 0.000 μB/atom



# 3
# RbLiGe

Crystalline RbLiGe at its relaxed geometry (PBE, the Alexandria database).

```
RbLiGe
1.0
4.581 0.001 -0.015
-2.285 3.971 -0.034
-0.828 -1.959 11.868
Li Ge Rb
2 2 2
Direct
0.925 0.088 0.490
0.259 0.754 0.490
0.546 0.368 0.390
0.638 0.474 0.590
0.393 0.913 0.792
0.120 0.596 0.188
```

Properties
E_form = -203 meV per atom
Space-group type = No. 1
Energy above the most stable polymorph in this dataset = 7 meV/atom
Calculated total energy = -16.2 eV/cell
Magnetic moment = 0.000 μB/atom



# 4
# Rb2LiGeRh

Crystalline Rb2LiGeRh at its relaxed geometry (PBE, the Alexandria database).

```
Rb2LiGeRh
1.0
-2.120 -2.588 4.900
-0.771 -3.795 -2.338
5.448 -1.931 1.337
Rh Rb Ge Li
1 2 1 1
Direct
0.000 0.500 0.000
0.500 0.000 0.000
0.000 0.000 0.500
0.500 0.500 0.500
0.000 0.000 0.000
```

Properties
E_form = 751 meV per atom
Space-group type = No. 123
Calculated total energy = -12.1 eV/cell
Magnetic moment = 0.085 μB/atom



# 5
# RbLi2GeRh

Crystalline RbLi2GeRh at its relaxed geometry (PBE, the Alexandria database).

```
RbLi2GeRh
1.0
-3.252 -3.507 -1.767
-0.610 -1.816 4.726
-3.578 2.975 0.681
Ge Rb Li Rh
1 1 2 1
Direct
0.000 0.000 0.500
0.500 0.500 0.500
0.500 0.000 0.000
0.000 0.500 0.000
0.000 0.000 0.000
```

Properties
E_form = -144 meV per atom
Space-group type = No. 123
Calculated total energy = -17.5 eV/cell
Magnetic moment = 0.000 μB/atom



# 6
# RbLiGeS3

Crystalline RbLiGeS3 at its relaxed geometry (PBE, the Alexandria database).

```
RbLiGeS3
1.0
6.617 0.000 0.000
0.000 6.816 0.000
0.000 -3.408 6.404
Ge S Rb Li
2 6 2 2
Direct
0.250 0.057 0.115
0.750 0.943 0.885
0.250 0.228 0.457
0.500 0.234 0.000
0.500 0.766 0.000
0.000 0.766 0.000
0.750 0.772 0.543
0.000 0.234 0.000
0.750 0.249 0.498
0.250 0.751 0.502
0.750 0.579 0.158
0.250 0.421 0.842
```

Properties
ΔE_f (raw) = -786 meV/atom
Space-group type = No. 63
Calculated total energy = -49.2 eV/cell
Magnetic moment = 0.000 μB/atom



no.,density (g/cm3)
1,1.681
2,2.634
3,2.543
4,3.685
5,3.733
6,3.004